one | Entry from Alexandria: a relaxed structure of CoNiSe2 (PBEsol).

magnetic moment	1.4	μB per formula unit
SG	R-3m
calculated volume	17.38	Å³/atom
theoretical density	6.6	g/cm³

Cell lengths 7.3974, 7.3974, 7.3974 Å; angles 26.20, 26.20, 26.20 degrees
Sites, in units of the cell vectors:
Co  0.0000  0.0000  0.0000
Ni  0.5000  0.5000  0.5000
Se  0.1038  0.1038  0.1038
Se  0.8962  0.8962  0.8962

two | Entry from Alexandria: a relaxed structure of CoNiSe2 (PBEsol).

magnetic moment	1.6	μB per formula unit
SG	P-4m2
calculated volume	17.21	Å³/atom
theoretical density	6.6	g/cm³

Cell lengths 3.6069, 3.6069, 5.2920 Å; angles 90.00, 90.00, 90.00 degrees
Sites, in units of the cell vectors:
Co  0.0000  0.0000  0.0000
Ni  0.5000  0.5000  0.0000
Se  0.0000  0.5000  0.7254
Se  0.5000  0.0000  0.2746

Decreasing stability: two, one

one | Entry from Alexandria: a relaxed structure of SrCoNi (PBEsol).

magnetic moment	2.2	μB per formula unit
SG	F-43m
calculated volume	20.47	Å³/atom
theoretical density	5.6	g/cm³

Cell lengths 4.4283, 4.4283, 4.4283 Å; angles 60.00, 60.00, 60.00 degrees
Sites, in units of the cell vectors:
Sr  0.0000  0.0000  0.0000
Co  0.5000  0.5000  0.5000
Ni  0.2500  0.2500  0.2500

two | Entry from Alexandria: a relaxed structure of SrCoNi (PBEsol).

magnetic moment	1.2	μB per formula unit
SG	F-43m
calculated volume	20.61	Å³/atom
theoretical density	5.5	g/cm³

Cell lengths 4.4388, 4.4388, 4.4388 Å; angles 60.00, 60.00, 60.00 degrees
Sites, in units of the cell vectors:
Sr  0.0000  0.0000  0.0000
Co  0.7500  0.7500  0.7500
Ni  0.2500  0.2500  0.2500

Decreasing stability: one, two

one | Entry from Alexandria: a relaxed structure of Sr2CoNi (PBEsol).

magnetic moment	1.1	μB per formula unit
SG	I-4m2
calculated volume	22.25	Å³/atom
theoretical density	5.5	g/cm³

Cell lengths 5.8731, 5.8731, 5.8731 Å; angles 138.21, 138.21, 60.58 degrees
Sites, in units of the cell vectors:
Sr  0.0000  0.0000  0.0000
Sr  0.7500  0.2500  0.5000
Co  0.5000  0.5000  0.0000
Ni  0.2500  0.7500  0.5000

two | Entry from Alexandria: a relaxed structure of Sr2CoNi (PBEsol).

magnetic moment	1.2	μB per formula unit
SG	Fm-3m
calculated volume	22.61	Å³/atom
theoretical density	5.4	g/cm³

Cell lengths 5.0386, 5.0386, 5.0386 Å; angles 60.00, 60.00, 60.00 degrees
Sites, in units of the cell vectors:
Sr  0.2500  0.2500  0.2500
Sr  0.7500  0.7500  0.7500
Co  0.0000  0.0000  0.0000
Ni  0.5000  0.5000  0.5000

Decreasing stability: two, one

one | Entry from Alexandria: a relaxed structure of Co2TcNi (PBEsol).

magnetic moment	1.7	μB per formula unit
SG	P4/mmm
calculated volume	11.03	Å³/atom
theoretical density	10.3	g/cm³

Cell lengths 3.5691, 3.5691, 3.4628 Å; angles 90.00, 90.00, 90.00 degrees
Sites, in units of the cell vectors:
Co  0.0000  0.5000  0.0000
Co  0.5000  0.0000  0.0000
Tc  0.0000  0.0000  0.5000
Ni  0.5000  0.5000  0.5000

two | Entry from Alexandria: a relaxed structure of Co2TcNi (PBEsol).

magnetic moment	1.7	μB per formula unit
SG	Cmmm
calculated volume	11.14	Å³/atom
theoretical density	10.2	g/cm³

Cell lengths 4.3249, 4.3249, 2.5181 Å; angles 90.00, 90.00, 108.88 degrees
Sites, in units of the cell vectors:
Co  0.0000  0.5000  0.0000
Co  0.5000  0.0000  0.0000
Tc  0.0000  0.0000  0.5000
Ni  0.5000  0.5000  0.5000

Decreasing stability: one, two

one | Entry from Alexandria: a relaxed structure of CoNiTe2 (PBEsol).

magnetic moment	1.6	μB per formula unit
SG	F-43m
calculated volume	18.27	Å³/atom
theoretical density	8.5	g/cm³

Cell lengths 4.6927, 4.6927, 4.6927 Å; angles 60.00, 60.00, 60.00 degrees
Sites, in units of the cell vectors:
Co  0.0000  0.0000  0.0000
Ni  0.7500  0.7500  0.7500
Te  0.2500  0.2500  0.2500
Te  0.5000  0.5000  0.5000

two | Entry from Alexandria: a relaxed structure of CoNiTe2 (PBEsol).

magnetic moment	0.0	μB per formula unit
SG	Fm-3m
calculated volume	16.64	Å³/atom
theoretical density	9.3	g/cm³

Cell lengths 4.5489, 4.5489, 4.5489 Å; angles 60.00, 60.00, 60.00 degrees
Sites, in units of the cell vectors:
Co  0.0000  0.0000  0.0000
Ni  0.5000  0.5000  0.5000
Te  0.2500  0.2500  0.2500
Te  0.7500  0.7500  0.7500

Decreasing stability: two, one

one | Entry from Alexandria: a relaxed structure of CoNi2W (PBEsol).

magnetic moment	0.0	μB per formula unit
SG	I-4m2
calculated volume	11.39	Å³/atom
theoretical density	13.1	g/cm³

Cell lengths 4.3711, 4.3711, 4.3711 Å; angles 131.72, 131.72, 70.67 degrees
Sites, in units of the cell vectors:
Co  0.0000  0.0000  0.0000
Ni  0.5000  0.5000  0.0000
Ni  0.7500  0.2500  0.5000
W  0.2500  0.7500  0.5000

two | Entry from Alexandria: a relaxed structure of CoNi2W (PBEsol).

magnetic moment	0.0	μB per formula unit
SG	I4/mmm
calculated volume	11.38	Å³/atom
theoretical density	13.1	g/cm³

Cell lengths 4.4691, 4.4691, 4.4691 Å; angles 133.93, 133.93, 67.20 degrees
Sites, in units of the cell vectors:
Co  0.0000  0.0000  0.0000
Ni  0.2500  0.7500  0.5000
Ni  0.7500  0.2500  0.5000
W  0.5000  0.5000  0.0000

three | Entry from Alexandria: a relaxed structure of CoNi2W (PBEsol).

magnetic moment	0.0	μB per formula unit
SG	Fm-3m
calculated volume	11.56	Å³/atom
theoretical density	12.9	g/cm³

Cell lengths 4.0294, 4.0294, 4.0294 Å; angles 60.00, 60.00, 60.00 degrees
Sites, in units of the cell vectors:
Co  0.0000  0.0000  0.0000
Ni  0.2500  0.2500  0.2500
Ni  0.7500  0.7500  0.7500
W  0.5000  0.5000  0.5000

Decreasing stability: one, two, three